# 1
An optimized crystal structure of LiTmIn3. Source: Alexandria, functional PBE.

a b c (Å): 4.6277 7.1353 7.2024
angles (deg): 90.00 90.00 90.00
Last column: nearest neighbours and their distance in Å.
Atoms (fractional coordinates):
Li  0.0000  0.0000  0.5516  7 In 2.70-2.93
Li  0.5000  0.5000  0.4484  7 In 2.70-2.93
Tm  0.5000  0.0000  0.2261  6 In 3.16-3.18, 2 Li 3.29
Tm  0.0000  0.5000  0.7739  6 In 3.16-3.18, 2 Li 3.29
In  0.0000  0.7045  0.3021  3 Li 2.77-2.93, 1 In 2.92
In  0.5000  0.7955  0.6979  3 Li 2.77-2.93, 1 In 2.92
In  0.5000  0.2045  0.6979  3 Li 2.77-2.93, 1 In 2.92
In  0.0000  0.2955  0.3021  3 Li 2.77-2.93, 1 In 2.92
In  0.0000  0.0000  0.9269  1 Li 2.70
In  0.5000  0.5000  0.0731  1 Li 2.70

Output
As for the symmetry: Pmmn, No. 59.

***

# 2
An optimized crystal structure of Li2TmIn. Source: Alexandria, functional PBE.

a b c (Å): 3.6462 3.6462 6.6149
angles (deg): 90.00 90.00 90.00
Last column: nearest neighbours and their distance in Å.
Atoms (fractional coordinates):
Tm  0.5000  0.5000  0.5000  8 Li 3.20, 2 In 3.31
Li  0.0000  0.0000  0.7868  1 Li 2.82, 4 In 2.94
Li  0.0000  0.0000  0.2132  1 Li 2.82, 4 In 2.94
In  0.5000  0.5000  0.0000  8 Li 2.94

Output
As for the symmetry: P4/mmm, No. 123.

***

# 3
An optimized crystal structure of Li2Tm3In5. Source: Alexandria, functional PBE.

a b c (Å): 4.3704 10.2456 10.2456
angles (deg): 90.00 90.00 90.00
Last column: nearest neighbours and their distance in Å.
Atoms (fractional coordinates):
Li  0.0000  0.1204  0.6204  6 In 2.80-2.83, 3 Tm 2.97-3.07
Li  0.0000  0.8796  0.3796  6 In 2.80-2.83, 3 Tm 2.97-3.07
Li  0.0000  0.3796  0.1204  6 In 2.80-2.83, 3 Tm 2.97-3.07
Li  0.0000  0.6204  0.8796  6 In 2.80-2.83, 3 Tm 2.97-3.07
Tm  0.0000  0.3256  0.8256  3 Li 2.97-3.07
Tm  0.0000  0.6744  0.1744  3 Li 2.97-3.07
Tm  0.0000  0.1744  0.3256  3 Li 2.97-3.07
Tm  0.0000  0.8256  0.6744  3 Li 2.97-3.07
Tm  0.0000  0.0000  0.0000  8 In 3.16
Tm  0.0000  0.5000  0.5000  8 In 3.16
In  0.5000  0.2103  0.0752  2 Li 2.83, 2 In 3.07-3.11, 2 Tm 3.16
In  0.5000  0.7897  0.9248  2 Li 2.83, 2 In 3.07-3.11, 2 Tm 3.16
In  0.5000  0.9248  0.2103  2 Li 2.83, 2 In 3.07-3.11, 2 Tm 3.16
In  0.5000  0.0752  0.7897  2 Li 2.83, 2 In 3.07-3.11, 2 Tm 3.16
In  0.5000  0.2897  0.5752  2 Li 2.83, 2 In 3.07-3.11, 2 Tm 3.16
In  0.5000  0.7103  0.4248  2 Li 2.83, 2 In 3.07-3.11, 2 Tm 3.16
In  0.5000  0.5752  0.7103  2 Li 2.83, 2 In 3.07-3.11, 2 Tm 3.16
In  0.5000  0.4248  0.2897  2 Li 2.83, 2 In 3.07-3.11, 2 Tm 3.16
In  0.5000  0.0000  0.5000  4 Li 2.80, 4 In 3.07
In  0.5000  0.5000  0.0000  4 Li 2.80, 4 In 3.07

Output
As for the symmetry: P4/mbm, No. 127.

***

Energy of formation for the records above, in order: -223.4; -93.7; -335.7 meV per atom
Size of the total moment for the records above, in order: 0.00; 0.00; 0.00 μB/f.u.